Below is TmMgSnHg after structural relaxation, with properties calculated at the PBE level.

Computed properties:
excess energy over the best structure of this formula in the dataset	85	meV/atom
magnetization	0.0000	μB per atom
crystal system	cubic

Structure (CIF):
```
data_TmMgSnHg
_chemical_formula_sum 'Tm4 Mg4 Sn4 Hg4'
_symmetry_space_group_name_H-M 'F -4 3 m'
_symmetry_Int_Tables_number 216
_symmetry_space_group_name_Hall 'F -4 2 3'
_cell_length_a 7.2699
_cell_length_b 7.2699
_cell_length_c 7.2699
_cell_angle_alpha 90.00
_cell_angle_beta 90.00
_cell_angle_gamma 90.00
loop_
_atom_site_label
_atom_site_fract_x
_atom_site_fract_y
_atom_site_fract_z
_atom_site_occupancy
Tm1 0.0000 0.0000 0.0000 1
Mg1 0.0000 0.0000 0.5000 1
Sn1 0.2500 0.2500 0.7500 1
Hg1 0.2500 0.2500 0.2500 1
```

Below is TmMgSnHg after structural relaxation, with properties calculated at the PBE level.

Computed properties:
excess energy over the best structure of this formula in the dataset	0	meV/atom
magnetization	0.0000	μB per atom
crystal system	orthorhombic

Structure (CIF):
```
data_TmMgSnHg
_chemical_formula_sum 'Tm1 Mg1 Sn1 Hg1'
_symmetry_space_group_name_H-M 'P m m m'
_symmetry_Int_Tables_number 47
_cell_length_a 4.1998
_cell_length_b 4.6147
_cell_length_c 4.8754
_cell_angle_alpha 90.00
_cell_angle_beta 90.00
_cell_angle_gamma 90.00
loop_
_symmetry_equiv_pos_as_xyz
'x,y,z'
'-x,-y,-z'
'-x,-y,z'
'x,y,-z'
'x,-y,-z'
'-x,y,z'
'-x,y,-z'
'x,-y,z'
loop_
_atom_site_label
_atom_site_fract_x
_atom_site_fract_y
_atom_site_fract_z
_atom_site_occupancy
Tm1 0.0000 0.0000 0.0000 1
Mg1 0.0000 0.5000 0.5000 1
Sn1 0.5000 0.5000 0.0000 1
Hg1 0.5000 0.0000 0.5000 1
```